Here is a relaxed structure of TaOs3 from the Alexandria database. Energies are from PBE-GGA.

a = 2.7829 Å, b = 2.7829 Å, c = 9.0846 Å
α = 90.00°, β = 90.00°, γ = 120.00°
Space group P-6m2 (No. 187)
Asymmetric unit:
Ta 0.0000 0.0000 0.0000
Os 0.0000 0.0000 0.5000
Os 0.6667 0.3333 0.2652

Values from the calculation:
final energy = -11.36 eV per atom
energy of formation = 0.026 eV per atom

***

Here is a relaxed structure of Nd2Al4PdPt3 from the Alexandria database. Energies are from PBE-GGA.

a = 4.333 Å, b = 4.333 Å, c = 10.264 Å
α = 90.00°, β = 90.00°, γ = 90.00°
Space group P-4m2 (No. 115)
Asymmetric unit:
Nd 0.000 0.500 0.249
Al 0.000 0.000 0.000
Al 0.000 0.500 0.626
Al 0.500 0.500 0.000
Pd 0.000 0.000 0.500
Pt 0.000 0.500 0.868
Pt 0.500 0.500 0.500

Values from the calculation:
final energy = -5.86 eV per atom
energy of formation = -1.075 eV per atom

***

Here is a relaxed structure of DyBi2 from the Alexandria database. Energies are from PBE-GGA.

a = 5.833 Å, b = 5.814 Å, c = 6.000 Å
α = 90.00°, β = 118.95°, γ = 90.00°
Space group C2/m (No. 12)
Asymmetric unit:
Dy 0.000 0.000 0.000
Bi 0.153 0.500 0.307

Values from the calculation:
final energy = -4.61 eV per atom
energy of formation = -0.487 eV per atom

***

Here is a relaxed structure of InGa2SnBr8 from the Alexandria database. Energies are from PBE-GGA.

a = 8.0095 Å, b = 8.0095 Å, c = 9.0157 Å
α = 90.00°, β = 90.00°, γ = 120.00°
Space group P-3m1 (No. 164)
Asymmetric unit:
In 0.0000 0.0000 0.0000
Ga 0.3333 0.6667 0.8053
Sn 0.0000 0.0000 0.5000
Br 0.1664 0.3328 0.7108
Br 0.3333 0.6667 0.0657

Values from the calculation:
final energy = -2.86 eV per atom